This record from Alexandria via LeMat-Bulk describes a geometry-optimized HoBeAl3Pd structure. The functional is GGA-PBE.

Results
* calculated volume: 210 Å³/cell
* size of the total moment: 0.00 μB/f.u.
* space-group type: No. 63
* theoretical density: 5.72 g/cm³
* formation enthalpy at 0 K: -0.270 eV/atom

extended XYZ file:
```
12
Lattice="-3.8665 -2.4255 -3.7644 2.9802 -5.1887 0.2822 -4.8690 0.9017 4.4200" Properties=species:S:1:pos:R:3 pbc="T T T"
Al -1.9342 -1.0911 0.3650
Al 0.8349 -1.4535 0.0791
Al 0.2122 -4.9479 -1.6790
Al 2.1454 -3.7352 0.2031
Al -3.8210 -5.6214 0.5728
Al -1.0984 -2.6663 -1.8031
Be -3.2942 -2.0167 -2.2910
Be -2.4610 -4.6958 3.2288
Pd -2.3840 -4.9016 -1.3670
Pd -3.3712 -1.8110 2.3048
Ho -4.7864 -2.7642 -0.2767
Ho -0.9688 -3.9483 1.2145
```



This record from Alexandria via LeMat-Bulk describes a geometry-optimized HoBeAl2Pd4 structure. The functional is GGA-PBE.

Results
* calculated volume: 129 Å³/cell
* size of the total moment: 0.00 μB/f.u.
* space-group type: No. 166
* theoretical density: 8.42 g/cm³
* formation enthalpy at 0 K: -0.802 eV/atom

extended XYZ file:
```
8
Lattice="4.2578 0.0000 0.0000 2.1289 3.6874 0.0000 2.1289 1.2291 8.2066" Properties=species:S:1:pos:R:3 pbc="T T T"
Pd 4.2578 2.4583 6.4482
Pd 6.3867 3.6874 3.3155
Pd 4.2578 2.4583 1.7583
Pd 2.1289 1.2291 4.8911
Ho 0.0000 0.0000 0.0000
Be 4.2578 2.4583 4.1033
Al 6.3867 3.6874 5.9125
Al 2.1289 1.2291 2.2940
```